Entry 1:
Below is a relaxed structure of YReIr2Br, with properties calculated at the PBEsol level.

space-group type: P4/mmm
total magnetic moment: 0.00 Bohr magnetons per cell
volume: 110.5 Å³ per cell
energy relative to the elements, uncorrected: 728 meV per atom

Cell: 4.7333 4.7333 4.9316 Å, 90.00 90.00 90.00°
Atoms (fractional coordinates):
1 Y 0.5000 0.5000 0.5000
2 Ir 0.5000 0.0000 0.0000
3 Ir 0.0000 0.5000 0.0000
4 Br 0.0000 0.0000 0.5000
5 Re 0.0000 0.0000 0.0000

Entry 2:
Below is a relaxed structure of IrRhBr2, with properties calculated at the PBEsol level.

space-group type: Imm2
total magnetic moment: 0.00 Bohr magnetons per cell
volume: 81.8 Å³ per cell
energy relative to the elements, uncorrected: 679 meV per atom

Cell: 3.3301 3.4671 7.4786 Å, 103.40 102.86 90.00°
Atoms (fractional coordinates):
1 Br 0.2408 0.2408 0.4817
2 Br 0.0072 0.5072 0.0143
3 Ir 0.4464 0.9464 0.8928
4 Rh 0.8056 0.8056 0.6112

Entry 3:
Below is a relaxed structure of SiIrRhBr2, with properties calculated at the PBEsol level.

space-group type: P4/mmm
total magnetic moment: 1.39 Bohr magnetons per cell
volume: 107.5 Å³ per cell
energy relative to the elements, uncorrected: 1207 meV per atom

Cell: 4.4593 4.9088 4.9088 Å, 90.00 90.00 90.00°
Last column: magnetic moment on the atom in μB.
Atoms (fractional coordinates):
1 Br 0.0000 0.5000 0.0000  0.07
2 Br 0.0000 0.0000 0.5000  0.07
3 Rh 0.0000 0.0000 0.0000  0.00
4 Ir 0.5000 0.5000 0.5000  1.27
5 Si 0.5000 0.0000 0.0000  -0.03

Entry 4:
Below is a relaxed structure of IrRu2Br, with properties calculated at the PBEsol level.

space-group type: I4/mmm
total magnetic moment: 0.00 Bohr magnetons per cell
volume: 58.5 Å³ per cell
energy relative to the elements, uncorrected: 952 meV per atom

Cell: 4.0791 4.5456 4.0791 Å, 116.66 90.00 116.66°
Atoms (fractional coordinates):
1 Br 0.5000 0.0000 0.5000
2 Ru 0.2500 0.5000 0.7500
3 Ru 0.7500 0.5000 0.2500
4 Ir 0.0000 0.0000 0.0000

Entry 5:
Below is a relaxed structure of Ir3RuBr, with properties calculated at the PBEsol level.

space-group type: Pm-3m
total magnetic moment: 3.45 Bohr magnetons per cell
volume: 91.6 Å³ per cell
energy relative to the elements, uncorrected: 2336 meV per atom

Cell: 4.5083 4.5083 4.5083 Å, 90.00 90.00 90.00°
Last column: magnetic moment on the atom in μB.
Atoms (fractional coordinates):
1 Ir 0.0000 0.5000 0.0000  0.43
2 Ir 0.0000 0.0000 0.5000  0.43
3 Ir 0.5000 0.0000 0.0000  0.43
4 Ru 0.5000 0.5000 0.5000  2.03
5 Br 0.0000 0.0000 0.0000  0.00

Entry 6:
Below is a relaxed structure of IrRuBr2, with properties calculated at the PBEsol level.

space-group type: C2/m
total magnetic moment: 0.01 Bohr magnetons per cell
volume: 83.9 Å³ per cell
energy relative to the elements, uncorrected: 602 meV per atom

Cell: 2.9978 4.6310 6.2718 Å, 97.09 103.83 90.00°
Atoms (fractional coordinates):
1 Br 0.1524 0.2182 0.3048
2 Br 0.8476 0.7818 0.6952
3 Ru 0.5000 0.0000 0.0000
4 Ir 0.0000 0.5000 0.0000

Entry 7:
Below is a relaxed structure of IrRu2Br, with properties calculated at the PBEsol level.

space-group type: P4mm
total magnetic moment: 0.00 Bohr magnetons per cell
volume: 60.2 Å³ per cell
energy relative to the elements, uncorrected: 647 meV per atom

Cell: 2.7843 2.7843 7.7594 Å, 90.00 90.00 90.00°
Atoms (fractional coordinates):
1 Ru 0.0000 0.0000 0.0093
2 Ru 0.5000 0.5000 0.2365
3 Ir 0.5000 0.5000 0.7789
4 Br 0.0000 0.0000 0.4752

Entry 8:
Below is a relaxed structure of IrRuBr2, with properties calculated at the PBEsol level.

space-group type: P2/m
total magnetic moment: 0.00 Bohr magnetons per cell
volume: 67.5 Å³ per cell
energy relative to the elements, uncorrected: 1029 meV per atom

Cell: 3.0465 4.3267 5.1337 Å, 90.00 93.70 90.00°
Atoms (fractional coordinates):
1 Br 0.2408 0.0000 0.2479
2 Br 0.7592 0.0000 0.7521
3 Ir 0.5000 0.5000 0.5000
4 Ru 0.0000 0.5000 0.0000